Entry 1:
The following is a DFT calculation (GGA-PBE) of a geometry-optimized ZnIrO3 structure.

The structure in CIF format:
```
data_ZnIrO3
_chemical_formula_sum 'Zn2 Ir2 O6'
_space_group_name_H-M_alt 'P 1'
_space_group_IT_number 1
_cell_length_a 5.303
_cell_length_b 5.303
_cell_length_c 5.303
_cell_angle_alpha 60.06
_cell_angle_beta 60.06
_cell_angle_gamma 60.06
loop_
_space_group_symop_operation_xyz
'x,y,z'
loop_
_atom_site_label
_atom_site_fract_x
_atom_site_fract_y
_atom_site_fract_z
Zn1 0.250 0.250 0.250
Zn2 0.750 0.750 0.750
Ir1 0.000 0.000 0.000
Ir2 0.500 0.500 0.500
O1 0.113 0.750 0.387
O2 0.250 0.613 0.887
O3 0.387 0.113 0.750
O4 0.613 0.887 0.250
O5 0.750 0.387 0.113
O6 0.887 0.250 0.613
```

Results
magnetization: 0.660 Bohr magnetons per cell
raw total energy: -5.88 eV/atom


Entry 2:
The following is a DFT calculation (GGA-PBE) of a geometry-optimized K2GeAu2S4 structure.

The structure in CIF format:
```
data_K2GeAu2S4
_chemical_formula_sum 'K4 Ge2 Au4 S8'
_space_group_name_H-M_alt 'P 1'
_space_group_IT_number 1
_cell_length_a 8.497
_cell_length_b 8.497
_cell_length_c 9.194
_cell_angle_alpha 101.04
_cell_angle_beta 101.04
_cell_angle_gamma 125.19
loop_
_space_group_symop_operation_xyz
'x,y,z'
loop_
_atom_site_label
_atom_site_fract_x
_atom_site_fract_y
_atom_site_fract_z
K1 0.057 0.943 0.750
K2 0.361 0.639 0.750
K3 0.639 0.361 0.250
K4 0.943 0.057 0.250
Ge1 0.363 0.637 0.250
Ge2 0.637 0.363 0.750
Au1 0.097 0.770 0.046
Au2 0.230 0.903 0.454
Au3 0.770 0.097 0.546
Au4 0.903 0.230 0.954
S1 0.138 0.575 0.371
S2 0.233 0.331 0.068
S3 0.331 0.233 0.568
S4 0.425 0.862 0.129
S5 0.575 0.138 0.871
S6 0.669 0.767 0.432
S7 0.767 0.669 0.932
S8 0.862 0.425 0.629
```

Results
raw total energy: -4.01 eV/atom


Q: Look up the raw total energy of the second one.
A: -4.01 eV/atom


Copy entry 2 word for word.
The following is a DFT calculation (GGA-PBE) of a geometry-optimized K2GeAu2S4 structure.

The structure in CIF format:
```
data_K2GeAu2S4
_chemical_formula_sum 'K4 Ge2 Au4 S8'
_space_group_name_H-M_alt 'P 1'
_space_group_IT_number 1
_cell_length_a 8.497
_cell_length_b 8.497
_cell_length_c 9.194
_cell_angle_alpha 101.04
_cell_angle_beta 101.04
_cell_angle_gamma 125.19
loop_
_space_group_symop_operation_xyz
'x,y,z'
loop_
_atom_site_label
_atom_site_fract_x
_atom_site_fract_y
_atom_site_fract_z
K1 0.057 0.943 0.750
K2 0.361 0.639 0.750
K3 0.639 0.361 0.250
K4 0.943 0.057 0.250
Ge1 0.363 0.637 0.250
Ge2 0.637 0.363 0.750
Au1 0.097 0.770 0.046
Au2 0.230 0.903 0.454
Au3 0.770 0.097 0.546
Au4 0.903 0.230 0.954
S1 0.138 0.575 0.371
S2 0.233 0.331 0.068
S3 0.331 0.233 0.568
S4 0.425 0.862 0.129
S5 0.575 0.138 0.871
S6 0.669 0.767 0.432
S7 0.767 0.669 0.932
S8 0.862 0.425 0.629
```

Results
raw total energy: -4.01 eV/atom